First-principles (PBE with a Hubbard U) data for crystalline PuV2HgO8 at its relaxed geometry, as listed in Alexandria.

Lattice parameters (Å, degrees): 5.513 5.513 8.009 98.05 98.05 65.38
Site moments in Bohr magnetons follow the coordinates.
Sites, in units of the cell vectors:
O 0.223 0.223 0.935  -0.05
O 0.682 0.197 0.803  -0.05
O 0.318 0.803 0.197  -0.05
O 0.777 0.777 0.065  -0.05
O 0.781 0.781 0.421  -0.01
O 0.803 0.318 0.197  -0.05
O 0.219 0.219 0.579  -0.01
O 0.197 0.682 0.803  -0.05
V 0.671 0.671 0.221  0.10
V 0.329 0.329 0.779  0.10
Pu 0.000 0.000 0.000  4.10
Hg 0.000 0.000 0.500  0.00

Summary:
DFT total energy   -92.00 eV/f.u.
DOS(E_F)   0.1935 states/eV per atom
Total magnetic moment   4.00 μB/f.u.